A relaxed structure of Sb2Pd2O5, computed with PBE-GGA.

It has space group P4/mmm (No. 123), with a = 3.680 Å, b = 3.680 Å, c = 9.106 Å, α = 90.00°, β = 90.00° and γ = 90.00°. The inequivalent atoms are Sb at (0.000, 0.000, 0.237), Pd at (0.500, 0.500, 0.000), Pd at (0.500, 0.500, 0.500), O at (0.000, 0.000, 0.000) and O at (0.000, 0.500, 0.347).

The final energy comes out at -47.5 eV for the cell shown.